No. 1
The following is a PBE calculation of a geometry-optimized TmScInCu structure, from Alexandria via LeMat-Bulk.

a b c (Å): 4.9758 4.9758 4.9758
angles (deg): 60.00 60.00 60.00
Fractional coordinates of all 4 atoms:
Cu  0.2500  0.2500  0.2500
Tm  0.0000  0.0000  0.0000
In  0.7500  0.7500  0.7500
Sc  0.5000  0.5000  0.5000

Summary:
Formation energy from the elements (eV per formula unit): -1.2
Magnetization (μB/f.u.): 0.0
SG: F-43m (216)

=====

No. 2
The following is a PBE calculation of a geometry-optimized In3CuSe5 structure, from Alexandria via LeMat-Bulk.

a b c (Å): 5.8666 7.2001 7.2196
angles (deg): 80.23 66.18 66.19
Fractional coordinates of all 9 atoms:
In  0.8090  0.8127  0.5878
Se  0.4209  0.7193  0.9057
Se  0.6306  0.9288  0.2915
In  0.3998  0.3819  0.8073
Cu  0.9721  0.0130  0.0037
Se  0.0591  0.2685  0.1200
Se  0.2473  0.4742  0.4899
In  0.6246  0.5957  0.2015
Se  0.8865  0.1057  0.6926

Summary:
Total DFT energy (no corrections) (eV per atom): -3.7939
Magnetization (μB/f.u.): 0.0
SG: P1 (1)

=====

No. 3
The following is a PBE calculation of a geometry-optimized In11Cu9Se20 structure, from Alexandria via LeMat-Bulk.

a b c (Å): 11.1210 11.1210 11.1210
angles (deg): 106.77 106.77 115.03
Fractional coordinates of all 40 atoms:
Se  0.8423  0.5186  0.6082
In  0.8114  0.6036  0.4069
In  0.1967  0.4046  0.5931
Cu  0.2990  0.1002  0.4003
Cu  0.3437  0.4499  0.3031
Se  0.5780  0.7930  0.0928
Se  0.3668  0.3612  0.4817
Cu  0.5501  0.8532  0.8937
Cu  0.8998  0.3000  0.1987
In  0.5954  0.1886  0.7922
Se  0.7002  0.4852  0.9072
In  0.5000  0.5000  0.0000
In  0.3964  0.8033  0.2078
Cu  0.1468  0.0405  0.6969
Se  0.5148  0.4220  0.2150
Se  0.2820  0.6909  0.7198
Cu  0.7500  0.2500  0.5000
Se  0.0796  0.2865  0.1186
Cu  0.1013  0.7010  0.8013
Cu  0.9595  0.6563  0.1063
Se  0.3091  0.0290  0.5912
In  0.6512  0.5527  0.6904
Se  0.1680  0.9610  0.8814
Se  0.4378  0.7180  0.4088
Cu  0.7000  0.8987  0.5997
Se  0.7659  0.1577  0.6763
Se  0.7135  0.8320  0.7930
In  0.4473  0.1377  0.0985
Se  0.0390  0.9204  0.2070
In  0.0392  0.3488  0.9015
Se  0.6388  0.1206  0.0057
Se  0.9710  0.5622  0.2802
Se  0.2070  0.2998  0.7850
Se  0.9104  0.2341  0.3918
In  0.2500  0.7500  0.5000
In  0.8623  0.9608  0.3096
Se  0.1149  0.6332  0.9943
Se  0.4814  0.0896  0.3237
Se  0.8794  0.8851  0.5183
In  0.0000  0.0000  0.0000

Summary:
Total DFT energy (no corrections) (eV per atom): -3.8326
Magnetization (μB/f.u.): 0.0
SG: I-4 (82)